Entry 1:
GGA-PBE La2ZrMn, optimized geometry; M_tot = 0.938 μB/atom; excess energy over the best structure of this formula in the dataset = 0.119 eV/atom; DFT total energy = -6.6174 eV/atom; energy relative to the elements = 0.276 eV per atom
1.0
-2.688 -2.007 -1.116
2.270 -2.589 -0.800
-0.897 -3.277 8.055
La Mn Zr
2 1 1
direct
0.000 0.000 0.022 La
0.000 0.000 0.478 La
0.500 0.500 0.250 Mn
0.500 0.500 0.750 Zr



Entry 2:
GGA-PBE La2ZrMn, optimized geometry; M_tot = 0.852 μB/atom; excess energy over the best structure of this formula in the dataset = 0.166 eV/atom; DFT total energy = -6.5700 eV/atom; energy relative to the elements = 0.323 eV per atom
1.0
-2.613 4.475 -2.063
-3.887 -1.386 3.753
1.598 2.044 2.410
La Mn Zr
2 1 1
direct
0.000 0.000 0.000 La
0.500 0.500 0.000 La
0.500 0.000 0.500 Mn
0.000 0.500 0.500 Zr



Entry 3:
GGA-PBE LaZr2Mn, optimized geometry; M_tot = 0.912 μB/atom; excess energy over the best structure of this formula in the dataset = 0.229 eV/atom; DFT total energy = -7.4801 eV/atom; energy relative to the elements = 0.318 eV per atom
1.0
5.546 -0.022 0.000
1.793 5.249 0.000
-3.670 -2.613 3.235
La Mn Zr
1 1 2
direct
0.500 0.500 0.000 La
0.750 0.250 0.500 Mn
0.000 0.000 0.000 Zr
0.250 0.750 0.500 Zr



Entry 4:
GGA-PBE LaZr2Mn, optimized geometry; M_tot = 0.000 μB/atom; excess energy over the best structure of this formula in the dataset = 0.896 eV/atom; DFT total energy = -6.8139 eV/atom; energy relative to the elements = 0.984 eV per atom
1.0
-2.531 3.543 5.719
-6.618 -0.214 -2.796
-5.429 -2.755 3.822
Mn Zr La
2 4 2
direct
0.500 0.500 0.000 Mn
0.250 0.750 0.500 Mn
0.375 0.125 0.250 Zr
0.375 0.625 0.250 Zr
0.375 0.625 0.750 Zr
0.875 0.625 0.750 Zr
0.000 0.000 0.000 La
0.750 0.250 0.500 La



Entry 5:
GGA-PBE LaZr2Mn, optimized geometry; M_tot = 0.760 μB/atom; excess energy over the best structure of this formula in the dataset = 0.289 eV/atom; DFT total energy = -7.4203 eV/atom; energy relative to the elements = 0.378 eV per atom
1.0
-5.221 -0.633 1.250
3.411 -5.172 0.341
0.597 -0.301 3.144
La Mn Zr
1 1 2
direct
0.000 0.500 0.500 La
0.500 0.500 0.000 Mn
0.000 0.000 0.000 Zr
0.500 0.000 0.500 Zr



Entry 6:
GGA-PBE La2ZrMn, optimized geometry; M_tot = 0.624 μB/atom; excess energy over the best structure of this formula in the dataset = 0.408 eV/atom; DFT total energy = -6.3276 eV/atom; energy relative to the elements = 0.566 eV per atom
1.0
-6.004 5.214 -2.844
-4.379 -6.619 -2.889
-6.645 -0.912 -0.183
Mn Zr La
2 2 4
direct
0.500 0.500 0.000 Mn
0.250 0.750 0.500 Mn
0.000 0.000 0.000 Zr
0.750 0.250 0.500 Zr
0.578 0.125 0.250 La
0.172 0.625 0.250 La
0.375 0.422 0.750 La
0.875 0.828 0.750 La



Entry 7:
GGA-PBE La2Mo, optimized geometry; M_tot = 0.000 μB/atom; excess energy over the best structure of this formula in the dataset = 0.000 eV/atom; DFT total energy = -6.6676 eV/atom; energy relative to the elements = 0.228 eV per atom
1.0
1.781 6.046 -0.022
-1.781 6.046 -0.022
0.000 2.938 7.917
La Mo
4 2
direct
0.995 0.995 0.713 La
0.674 0.674 0.867 La
0.326 0.326 0.133 La
0.005 0.005 0.287 La
0.696 0.696 0.451 Mo
0.304 0.304 0.549 Mo



Entry 8:
GGA-PBE LaMo3, optimized geometry; M_tot = 0.000 μB/atom; excess energy over the best structure of this formula in the dataset = 2.789 eV/atom; DFT total energy = -6.1769 eV/atom; energy relative to the elements = 3.178 eV per atom
1.0
-0.431 4.693 -0.886
-4.733 -0.539 -0.555
-0.643 0.825 4.680
La Mo
1 3
direct
0.000 0.000 0.000 La
0.000 0.000 0.500 Mo
0.000 0.500 0.000 Mo
0.500 0.000 0.000 Mo



Entry 9:
GGA-PBE La2Mo, optimized geometry; M_tot = 0.226 μB/atom; excess energy over the best structure of this formula in the dataset = 0.331 eV/atom; DFT total energy = -6.3367 eV/atom; energy relative to the elements = 0.559 eV per atom
1.0
7.152 0.000 0.000
0.000 7.152 0.000
0.000 0.000 7.152
Mo La
4 8
direct
0.000 0.000 0.000 Mo
0.000 0.500 0.500 Mo
0.500 0.000 0.500 Mo
0.500 0.500 0.000 Mo
0.178 0.678 0.822 La
0.178 0.822 0.322 La
0.322 0.178 0.822 La
0.322 0.322 0.322 La
0.678 0.678 0.678 La
0.678 0.822 0.178 La
0.822 0.178 0.678 La
0.822 0.322 0.178 La



Entry 10:
GGA-PBE La2Mo, optimized geometry; M_tot = 0.000 μB/atom; excess energy over the best structure of this formula in the dataset = 0.162 eV/atom; DFT total energy = -6.5056 eV/atom; energy relative to the elements = 0.390 eV per atom
1.0
1.782 -8.696 0.000
1.782 8.696 0.000
0.000 0.000 5.504
La Mo
4 2
direct
0.028 0.972 0.000 La
0.701 0.299 0.000 La
0.354 0.646 0.000 La
0.528 0.472 0.500 La
0.229 0.771 0.500 Mo
0.826 0.174 0.500 Mo



Entry 11:
GGA-PBE La2Mo, optimized geometry; M_tot = 0.000 μB/atom; excess energy over the best structure of this formula in the dataset = 0.149 eV/atom; DFT total energy = -6.5185 eV/atom; energy relative to the elements = 0.377 eV per atom
1.0
-3.686 -5.622 2.354
1.281 -6.373 2.912
1.100 7.030 -0.328
La Mo
2 1
direct
0.967 0.967 0.000 La
0.699 0.699 0.000 La
0.333 0.333 0.000 Mo



Entry 12:
GGA-PBE La2Mo, optimized geometry; M_tot = 0.003 μB/atom; excess energy over the best structure of this formula in the dataset = 0.218 eV/atom; DFT total energy = -6.4497 eV/atom; energy relative to the elements = 0.446 eV per atom
1.0
4.981 0.000 0.000
-2.490 4.313 0.000
0.000 0.000 3.618
La Mo
2 1
direct
0.000 0.000 0.060 La
0.333 0.667 0.607 La
0.667 0.333 0.333 Mo



Entry 13:
GGA-PBE La2Mo, optimized geometry; M_tot = 0.000 μB/atom; excess energy over the best structure of this formula in the dataset = 0.458 eV/atom; DFT total energy = -6.2096 eV/atom; energy relative to the elements = 0.686 eV per atom
1.0
5.791 -2.837 0.011
5.791 2.837 0.011
4.393 0.000 4.721
La Mo
4 2
direct
0.317 0.000 0.683 La
0.683 0.317 0.000 La
0.000 0.683 0.317 La
0.500 0.500 0.500 La
0.831 0.831 0.831 Mo
0.169 0.169 0.169 Mo



Entry 14:
GGA-PBE LaMo2, optimized geometry; M_tot = 0.000 μB/atom; excess energy over the best structure of this formula in the dataset = 0.444 eV/atom; DFT total energy = -8.1205 eV/atom; energy relative to the elements = 0.743 eV per atom
1.0
-2.213 -0.764 2.075
-0.497 -0.454 -3.055
5.609 -13.333 1.069
La Mo
2 4
direct
0.000 0.000 0.817 La
0.000 0.000 0.183 La
0.000 0.000 0.500 Mo
0.667 0.333 0.000 Mo
0.667 0.333 0.369 Mo
0.667 0.333 0.631 Mo



Entry 15:
GGA-PBE La2Mo, optimized geometry; M_tot = 0.000 μB/atom; excess energy over the best structure of this formula in the dataset = 0.364 eV/atom; DFT total energy = -6.3040 eV/atom; energy relative to the elements = 0.591 eV per atom
1.0
-1.362 -2.348 -5.707
-2.168 -2.869 5.196
-3.957 2.694 -0.164
La Mo
4 2
direct
0.591 0.000 0.000 La
0.409 0.409 0.000 La
0.000 0.591 0.000 La
0.000 0.000 0.500 La
0.667 0.333 0.500 Mo
0.333 0.667 0.500 Mo



Entry 16:
GGA-PBE LaMo3, optimized geometry; M_tot = 0.000 μB/atom; excess energy over the best structure of this formula in the dataset = 0.174 eV/atom; DFT total energy = -8.7918 eV/atom; energy relative to the elements = 0.563 eV per atom
1.0
-0.919 0.926 -6.705
-5.236 -1.953 3.928
-1.040 4.258 0.731
La Mo
2 6
direct
0.333 0.667 0.250 La
0.667 0.333 0.750 La
0.871 0.129 0.250 Mo
0.129 0.871 0.750 Mo
0.871 0.742 0.250 Mo
0.129 0.258 0.750 Mo
0.258 0.129 0.250 Mo
0.742 0.871 0.750 Mo



Entry 17:
GGA-PBE La4Mo3, optimized geometry; M_tot = 0.000 μB/atom; DFT total energy = -7.1120 eV/atom; energy relative to the elements = 0.346 eV per atom
1.0
2.755 -4.772 0.000
2.755 4.772 0.000
0.000 0.000 6.484
La Mo
4 3
direct
0.000 0.000 0.257 La
0.000 0.000 0.743 La
0.667 0.333 0.500 La
0.333 0.667 0.500 La
0.000 0.500 0.000 Mo
0.500 0.500 0.000 Mo
0.500 0.000 0.000 Mo



Entry 18:
GGA-PBE LaMo2, optimized geometry; M_tot = 0.000 μB/atom; excess energy over the best structure of this formula in the dataset = 0.210 eV/atom; DFT total energy = -8.3548 eV/atom; energy relative to the elements = 0.508 eV per atom
1.0
1.667 5.267 -0.015
-1.667 5.267 -0.015
0.000 0.648 7.901
La Mo
2 4
direct
0.051 0.051 0.015 La
0.279 0.279 0.346 La
0.537 0.537 0.376 Mo
0.964 0.964 0.603 Mo
0.676 0.676 0.690 Mo
0.327 0.327 0.803 Mo



Entry 19:
GGA-PBE LaMo2, optimized geometry; M_tot = 0.000 μB/atom; excess energy over the best structure of this formula in the dataset = 0.420 eV/atom; DFT total energy = -8.1443 eV/atom; energy relative to the elements = 0.719 eV per atom
1.0
2.711 -4.696 0.000
2.711 4.696 0.000
0.000 0.000 5.148
La Mo
2 4
direct
0.667 0.333 0.000 La
0.333 0.667 0.000 La
0.000 0.000 0.000 Mo
0.000 0.260 0.500 Mo
0.740 0.740 0.500 Mo
0.260 0.000 0.500 Mo



Entry 20:
GGA-PBE LaMo5, optimized geometry; M_tot = 0.000 μB/atom; excess energy over the best structure of this formula in the dataset = 0.135 eV/atom; DFT total energy = -9.3801 eV/atom; energy relative to the elements = 0.467 eV per atom
1.0
2.099 0.503 4.974
3.263 4.173 1.156
-1.721 3.959 3.281
La Mo
1 5
direct
0.000 0.000 0.000 La
0.624 0.624 0.127 Mo
0.250 0.250 0.250 Mo
0.624 0.624 0.624 Mo
0.127 0.624 0.624 Mo
0.624 0.127 0.624 Mo



Number 1: N(E_F) 4.251 states/eV/cell. Number 2: N(E_F) 5.319 states/eV/cell. Number 3: N(E_F) 5.694 states/eV/cell. Number 4: N(E_F) 3.636 states/eV/cell. Number 5: N(E_F) 5.899 states/eV/cell. Number 6: N(E_F) 17.290 states/eV/cell. Number 7: N(E_F) 7.052 states/eV/cell. Number 8: N(E_F) 5.006 states/eV/cell. Number 9: N(E_F) 18.895 states/eV/cell. Number 10: N(E_F) 9.042 states/eV/cell. Number 11: N(E_F) 3.386 states/eV/cell. Number 12: N(E_F) 3.468 states/eV/cell. Number 13: N(E_F) 7.793 states/eV/cell. Number 14: N(E_F) 8.370 states/eV/cell. Number 15: N(E_F) 8.240 states/eV/cell. Number 16: N(E_F) 7.505 states/eV/cell. Number 17: N(E_F) 9.035 states/eV/cell. Number 18: N(E_F) 6.894 states/eV/cell. Number 19: N(E_F) 7.615 states/eV/cell. Number 20: N(E_F) 5.615 states/eV/cell.